Entry 1:
# Co3Ge (GGA-PBE, relaxed)
# Energy of formation: 228 meV per atom
data_Co3Ge
_cell_length_a 2.6018
_cell_length_b 2.6968
_cell_length_c 7.1583
_cell_angle_alpha 90.00
_cell_angle_beta 90.00
_cell_angle_gamma 90.00
_space_group_name_H-M_alt 'P m m 2'
_space_group_IT_number 25
_space_group_name_Hall 'P 2 -2'
loop_
_atom_site_label
_atom_site_type_symbol
_atom_site_fract_x
_atom_site_fract_y
_atom_site_fract_z
Co1 Co 0.0000 0.0000 0.0000
Co2 Co 0.0000 0.5000 0.4934
Co3 Co 0.5000 0.0000 0.2826
Ge1 Ge 0.5000 0.5000 0.7821



Entry 2:
# Co5Ge3 (GGA-PBE, relaxed)
# Energy of formation: -145 meV per atom
data_Co5Ge3
_cell_length_a 6.5485
_cell_length_b 7.6161
_cell_length_c 3.7410
_cell_angle_alpha 90.00
_cell_angle_beta 90.00
_cell_angle_gamma 90.00
_space_group_name_H-M_alt 'C m m m'
_space_group_IT_number 65
_space_group_name_Hall '-C 2 2'
loop_
_atom_site_label
_atom_site_type_symbol
_atom_site_fract_x
_atom_site_fract_y
_atom_site_fract_z
Co1 Co 0.0000 0.0000 0.0000
Co2 Co 0.2126 0.5000 0.5000
Co3 Co 0.2500 0.2500 0.0000
Ge1 Ge 0.0000 0.2066 0.5000
Ge2 Ge 0.0000 0.5000 0.0000



Entry 3:
# Co3Ge (GGA-PBE, relaxed)
# Energy of formation: 297 meV per atom
data_Co3Ge
_cell_length_a 6.2807
_cell_length_b 6.2807
_cell_length_c 8.8270
_cell_angle_alpha 90.00
_cell_angle_beta 90.00
_cell_angle_gamma 120.00
_space_group_name_H-M_alt 'R -3 m'
_space_group_IT_number 166
_space_group_name_Hall '-R 3 2"'
loop_
_atom_site_label
_atom_site_type_symbol
_atom_site_fract_x
_atom_site_fract_y
_atom_site_fract_z
Co1 Co 0.0709 0.5354 0.2816
Ge1 Ge 0.0000 0.0000 0.1607



Entry 4:
# Co4Ge (GGA-PBE, relaxed)
# Energy of formation: 124 meV per atom
# E above lowest polymorph: 84 meV per atom
data_Co4Ge
_cell_length_a 2.6066
_cell_length_b 2.6066
_cell_length_c 29.9508
_cell_angle_alpha 90.00
_cell_angle_beta 90.00
_cell_angle_gamma 120.00
_space_group_name_H-M_alt 'R -3 m'
_space_group_IT_number 166
_space_group_name_Hall '-R 3 2"'
loop_
_atom_site_label
_atom_site_type_symbol
_atom_site_fract_x
_atom_site_fract_y
_atom_site_fract_z
Co1 Co 0.0000 0.0000 0.0983
Co2 Co 0.0000 0.0000 0.2999
Ge1 Ge 0.0000 0.0000 0.5000



Entry 5:
# Co17Ge2 (GGA-PBE, relaxed)
# Energy of formation: 208 meV per atom
data_Co17Ge2
_cell_length_a 7.9451
_cell_length_b 7.9451
_cell_length_c 12.6147
_cell_angle_alpha 90.00
_cell_angle_beta 90.00
_cell_angle_gamma 120.00
_space_group_name_H-M_alt 'R -3 m'
_space_group_IT_number 166
_space_group_name_Hall '-R 3 2"'
loop_
_atom_site_label
_atom_site_type_symbol
_atom_site_fract_x
_atom_site_fract_y
_atom_site_fract_z
Co1 Co 0.0000 0.0000 0.0913
Co2 Co 0.0000 0.3135 0.0000
Co3 Co 0.9997 0.4998 0.1575
Co4 Co 0.0000 0.5000 0.5000
Ge1 Ge 0.0000 0.0000 0.3690



Entry 6:
# Co2Ge3 (GGA-PBE, relaxed)
# Energy of formation: -142 meV per atom
# E above lowest polymorph: 0 meV per atom
data_Co2Ge3
_cell_length_a 10.7425
_cell_length_b 5.0410
_cell_length_c 6.6692
_cell_angle_alpha 90.00
_cell_angle_beta 123.61
_cell_angle_gamma 90.00
_space_group_name_H-M_alt 'C 1 2/c 1'
_space_group_IT_number 15
_space_group_name_Hall '-C 2yc'
loop_
_atom_site_label
_atom_site_type_symbol
_atom_site_fract_x
_atom_site_fract_y
_atom_site_fract_z
Co1 Co 0.0659 0.2385 0.4946
Ge1 Ge 0.0000 0.3777 0.7500
Ge2 Ge 0.1863 0.1045 0.2800



| no. | density of states at the Fermi level (states/eV/cell) |
| --- | --- |
| 1 | 4.09 |
| 2 | 10.79 |
| 3 | 33.22 |
| 4 | 13.89 |
| 5 | 68.52 |
| 6 | 7.90 |